# Rb2Tl2PbBr6 | Alexandria via LeMat-Bulk | PBE | optimized geometry
data_Rb2Tl2PbBr6
_chemical_formula_sum 'Rb4 Tl4 Pb2 Br12'
_cell_length_a 8.645
_cell_length_b 14.057
_cell_length_c 8.068
_cell_angle_alpha 90.00
_cell_angle_beta 110.10
_cell_angle_gamma 90.00
_symmetry_space_group_name_H-M 'C 1 2/m 1'
_symmetry_Int_Tables_number 12
loop_
_symmetry_equiv_pos_as_xyz
'x,y,z'
'-x,-y,-z'
'-x,y,-z'
'x,-y,z'
'x+1/2,y+1/2,z'
'-x+1/2,-y+1/2,-z'
'-x+1/2,y+1/2,-z'
'x+1/2,-y+1/2,z'
loop_
_atom_site_label
_atom_site_type_symbol
_atom_site_fract_x
_atom_site_fract_y
_atom_site_fract_z
Rb1 Rb 0.000 0.159 0.000
Tl1 Tl 0.000 0.323 0.500
Pb1 Pb 0.000 0.500 0.000
Br1 Br 0.205 0.500 0.756
Br2 Br 0.224 0.345 0.234
# * uncorrected formation energy: -1.201 eV per atom
# * DOS at the Fermi energy: 0.00 states/eV/f.u.